Computed, not measured: crystalline Be2PtW at its relaxed geometry at the GGA-PBE level of DFT.

Cell: 4.7380 4.7380 4.7380 Å, 136.63 136.63 63.01°
Fractional coordinates of all 4 atoms:
1 Be 0.0000 0.0000 0.0000
2 Be 0.7500 0.2500 0.5000
3 Pt 0.2500 0.7500 0.5000
4 W 0.5000 0.5000 0.0000

- formation enthalpy at 0 K (eV/atom) = -0.025
- symmetry = I-4m2 (119)
- density (kg/m³) = 13309
- calculated total energy (hartree per atom) = -0.244
- density of states at the Fermi level (states/eV per cell) = 2.35

Computed, not measured: crystalline ScAs2BrO at its relaxed geometry at the GGA-PBE level of DFT.

Cell: 4.1179 4.1179 5.7256 Å, 90.00 90.00 90.00°
Fractional coordinates of all 5 atoms:
1 Sc 0.0000 0.0000 0.0000
2 As 0.0000 0.5000 0.5000
3 As 0.5000 0.0000 0.5000
4 Br 0.5000 0.5000 0.0000
5 O 0.5000 0.5000 0.5000

- symmetry = P4/mmm (123)
- density (kg/m³) = 4972
- calculated total energy (hartree per atom) = -0.176
- density of states at the Fermi level (states/eV per cell) = 3.23

Computed, not measured: crystalline Tb7PbSe5 at its relaxed geometry at the GGA-PBE level of DFT.

Cell: 7.0157 7.0157 24.3673 Å, 90.00 90.00 145.68°
Fractional coordinates of all 26 atoms:
1 Tb 0.0207 0.9793 0.7500
2 Tb 0.1382 0.8618 0.0363
3 Tb 0.1382 0.8618 0.4637
4 Tb 0.3187 0.6813 0.6767
5 Tb 0.3187 0.6813 0.8233
6 Tb 0.4049 0.5951 0.1149
7 Tb 0.4049 0.5951 0.3851
8 Tb 0.5951 0.4049 0.6149
9 Tb 0.5951 0.4049 0.8851
10 Tb 0.6813 0.3187 0.1767
11 Tb 0.6813 0.3187 0.3233
12 Tb 0.8618 0.1382 0.5363
13 Tb 0.8618 0.1382 0.9637
14 Tb 0.9793 0.0207 0.2500
15 Pb 0.3057 0.6943 0.2500
16 Pb 0.6943 0.3057 0.7500
17 Se 0.0470 0.9530 0.1406
18 Se 0.0470 0.9530 0.3594
19 Se 0.2256 0.7744 0.5713
20 Se 0.2256 0.7744 0.9287
21 Se 0.5000 0.5000 0.0000
22 Se 0.5000 0.5000 0.5000
23 Se 0.7744 0.2256 0.0713
24 Se 0.7744 0.2256 0.4287
25 Se 0.9530 0.0470 0.6406
26 Se 0.9530 0.0470 0.8594

- symmetry = Cmcm (63)
- density (kg/m³) = 8420
- calculated total energy (hartree per atom) = -0.205
- density of states at the Fermi level (states/eV per cell) = 16.22

Computed, not measured: crystalline HfCrGa2 at its relaxed geometry at the GGA-PBE level of DFT.

Cell: 4.5292 4.5292 4.5292 Å, 60.00 60.00 60.00°
Fractional coordinates of all 4 atoms:
1 Hf 0.0000 0.0000 0.0000
2 Cr 0.5000 0.5000 0.5000
3 Ga 0.2500 0.2500 0.2500
4 Ga 0.7500 0.7500 0.7500

- formation enthalpy at 0 K (eV/atom) = -0.054
- symmetry = Fm-3m (225)
- density (kg/m³) = 9350
- calculated total energy (hartree per atom) = -0.237
- density of states at the Fermi level (states/eV per cell) = 4.92